No. 1
## Li3Ti6O13 (PBEsol)

Data for Li3Ti6O13 after structural relaxation.

Cell and atoms, written as POSCAR:
```
Li3Ti6O13
1.0
3.933 0.000 0.000
-1.966 5.951 0.004
0.000 -1.929 10.181
O Li Ti
13 3 6
Direct
0.622 0.245 0.809
0.316 0.632 0.808
0.432 0.865 0.591
0.378 0.755 0.191
0.684 0.368 0.192
0.829 0.659 0.000
0.762 0.524 0.599
0.894 0.788 0.393
0.171 0.341 0.000
0.568 0.135 0.409
0.500 0.000 0.000
0.106 0.212 0.607
0.238 0.476 0.401
0.930 0.861 0.586
0.070 0.139 0.414
0.000 0.000 0.000
0.281 0.563 0.639
0.719 0.437 0.361
0.658 0.317 0.999
0.402 0.803 0.361
0.342 0.683 0.001
0.598 0.197 0.639
```

Output
- Uncorrected formation energy: -273.12 kJ per mole of atoms
- Raw total energy: -8.47 eV/atom



No. 2
## LiTi2O4 (PBEsol)

Data for LiTi2O4 after structural relaxation.

Cell and atoms, written as POSCAR:
```
LiTi2O4
1.0
-2.764 3.719 -3.568
-2.780 -4.738 2.009
-3.035 4.975 7.536
O Ti Li
16 8 4
Direct
0.333 0.667 0.396
0.481 0.519 0.159
0.000 0.000 0.188
0.667 0.333 0.896
0.166 0.834 0.904
0.166 0.331 0.904
0.834 0.166 0.404
0.481 0.963 0.159
0.669 0.834 0.904
0.331 0.166 0.404
0.519 0.481 0.659
0.000 0.000 0.688
0.037 0.519 0.159
0.834 0.669 0.404
0.519 0.037 0.659
0.963 0.481 0.659
0.333 0.667 0.013
0.830 0.170 0.784
0.660 0.830 0.284
0.667 0.333 0.513
0.170 0.830 0.284
0.340 0.170 0.784
0.830 0.660 0.784
0.170 0.340 0.284
0.000 0.000 0.505
0.333 0.667 0.601
0.000 0.000 0.005
0.667 0.333 0.101
```

Output
- Uncorrected formation energy: -274.89 kJ per mole of atoms
- Raw total energy: -8.51 eV/atom



No. 3
## Li2Ti3O6 (PBEsol)

Data for Li2Ti3O6 after structural relaxation.

Cell and atoms, written as POSCAR:
```
Li2Ti3O6
1.0
-3.659 -3.432 -0.246
4.654 -1.190 -1.467
0.740 0.055 5.141
Ti Li O
3 2 6
Direct
0.000 0.000 0.000
0.337 0.663 0.000
0.663 0.337 0.000
0.168 0.832 0.500
0.832 0.168 0.500
0.752 0.752 0.230
0.592 0.934 0.775
0.066 0.408 0.225
0.934 0.592 0.775
0.408 0.066 0.225
0.248 0.248 0.770
```

Output
- Uncorrected formation energy: -265.74 kJ per mole of atoms
- Raw total energy: -8.24 eV/atom



No. 4
## Li3Ti4O8 (PBEsol)

Data for Li3Ti4O8 after structural relaxation.

Cell and atoms, written as POSCAR:
```
Li3Ti4O8
1.0
2.871 0.000 0.000
0.000 5.073 0.065
0.000 -0.292 9.669
Ti O Li
4 8 3
Direct
0.000 0.071 0.858
0.500 0.560 0.633
0.000 0.439 0.372
0.500 0.930 0.135
0.500 0.622 0.257
0.000 0.126 0.241
0.500 0.865 0.766
0.000 0.391 0.754
0.000 0.766 0.011
0.500 0.227 0.992
0.500 0.284 0.487
0.000 0.731 0.512
0.500 0.576 0.901
0.000 0.419 0.100
0.500 0.934 0.432
```

Output
- Uncorrected formation energy: -262.40 kJ per mole of atoms
- Raw total energy: -8.13 eV/atom



No. 5
## Li7Ti5O12 (PBEsol)

Data for Li7Ti5O12 after structural relaxation.

Cell and atoms, written as POSCAR:
```
Li7Ti5O12
1.0
5.011 0.000 0.002
2.505 4.339 0.001
1.666 0.000 9.677
O Li Ti
12 7 5
Direct
0.391 0.000 0.386
0.038 0.647 0.386
0.207 0.334 0.879
0.609 0.000 0.614
0.540 0.666 0.879
0.460 0.334 0.121
0.874 0.000 0.877
0.962 0.353 0.614
0.685 0.353 0.386
0.315 0.647 0.614
0.793 0.666 0.121
0.126 0.000 0.123
0.407 0.674 0.256
0.593 0.326 0.744
0.919 0.674 0.744
0.756 0.000 0.256
0.244 0.000 0.744
0.081 0.326 0.256
0.000 0.000 0.500
0.833 0.333 0.000
0.667 0.667 0.500
0.333 0.333 0.500
0.500 0.000 0.000
0.167 0.667 0.000
```

Output
- Uncorrected formation energy: -257.91 kJ per mole of atoms
- Raw total energy: -7.61 eV/atom



No. 6
## Li7Ti11O24 (PBEsol)

Data for Li7Ti11O24 after structural relaxation.

Cell and atoms, written as POSCAR:
```
Li7Ti11O24
1.0
-3.791 3.471 2.900
-6.022 -5.678 -1.076
7.179 -2.773 6.701
O Ti Li
24 11 7
Direct
0.158 0.892 0.316
0.659 0.920 0.318
0.489 0.239 0.977
0.141 0.405 0.834
0.473 0.737 0.499
0.175 0.436 0.350
0.859 0.595 0.166
0.026 0.737 0.499
0.645 0.929 0.823
0.008 0.747 0.016
0.307 0.595 0.166
0.674 0.412 0.348
0.341 0.080 0.682
0.355 0.071 0.177
0.693 0.405 0.834
0.825 0.564 0.650
0.511 0.761 0.023
0.992 0.253 0.984
0.974 0.263 0.501
0.326 0.588 0.652
0.842 0.108 0.684
0.178 0.929 0.823
0.822 0.071 0.177
0.527 0.263 0.501
0.338 0.835 0.675
0.834 0.333 0.667
0.664 0.163 0.838
0.826 0.837 0.162
0.000 0.500 0.000
0.166 0.667 0.333
0.336 0.837 0.162
0.662 0.165 0.325
0.174 0.163 0.838
0.000 0.500 0.500
0.500 0.500 0.500
0.084 0.204 0.167
0.581 0.458 0.163
0.248 0.123 0.496
0.419 0.542 0.837
0.500 0.000 0.000
0.752 0.877 0.504
0.916 0.796 0.833
```

Output
- Uncorrected formation energy: -276.30 kJ per mole of atoms
- Raw total energy: -8.37 eV/atom